[1]
! CaBeRh2, optimized geometry, DFT GGA-PBE; values from VASP
&SYSTEM
  ibrav = 0, nat = 4, ntyp = 3
/
ATOMIC_SPECIES
Rh 102.91 Rh.upf
Be 9.01 Be.upf
Ca 40.08 Ca.upf
CELL_PARAMETERS angstrom
4.298 -0.004 0.000
0.004 4.298 0.000
0.000 0.000 3.274
ATOMIC_POSITIONS crystal
Rh 0.500 0.500 0.000
Rh 0.000 0.000 0.000
Be 0.500 0.000 0.500
Ca 0.000 0.500 0.500
! - uncorrected energy (eV per atom) = -5.183
! - crystal system = tetragonal
! - calculated formation energy (eV per atom) = -0.0758
! - space group = No. 123

[2]
! ZnGeAs2Ru, optimized geometry, DFT GGA-PBE; values from VASP
&SYSTEM
  ibrav = 0, nat = 5, ntyp = 4
/
ATOMIC_SPECIES
Ge 72.64 Ge.upf
Zn 65.41 Zn.upf
As 74.92 As.upf
Ru 101.07 Ru.upf
CELL_PARAMETERS angstrom
4.957 0.000 0.000
0.000 4.482 0.000
0.000 0.000 4.957
ATOMIC_POSITIONS crystal
Ge 0.000 0.000 0.000
Zn 0.000 0.500 0.000
As 0.000 0.000 0.500
Ru 0.500 0.500 0.500
As 0.500 0.000 0.000
! - uncorrected energy (eV per atom) = -3.676
! - crystal system = tetragonal
! - calculated formation energy (eV per atom) = 1.2168
! - space group = No. 123

[3]
! Mg2ScHg, optimized geometry, DFT GGA-PBE; values from VASP
&SYSTEM
  ibrav = 0, nat = 4, ntyp = 3
/
ATOMIC_SPECIES
Mg 24.30 Mg.upf
Sc 44.96 Sc.upf
Hg 200.59 Hg.upf
CELL_PARAMETERS angstrom
-2.736 -1.683 0.857
0.139 -3.294 0.425
1.278 -0.353 9.838
ATOMIC_POSITIONS crystal
Mg 0.079 0.079 0.763
Mg 0.254 0.254 0.237
Sc 0.500 0.500 0.499
Hg 0.666 0.666 0.001
! - uncorrected energy (eV per atom) = -2.515
! - crystal system = trigonal
! - calculated formation energy (eV per atom) = -0.0595
! - space group = No. 160

[4]
! Pu3UPd12, optimized geometry, DFT GGA-PBE; values from VASP
&SYSTEM
  ibrav = 0, nat = 16, ntyp = 3
/
ATOMIC_SPECIES
Pu 244.00 Pu.upf
Pd 106.42 Pd.upf
U 238.03 U.upf
CELL_PARAMETERS angstrom
-1.395 2.664 -2.857
1.540 -2.413 -3.002
-14.370 -8.287 -0.712
ATOMIC_POSITIONS crystal
Pu 0.000 0.000 0.748
Pd 0.500 0.500 0.000
Pd 0.500 0.000 0.625
Pd 0.000 0.500 0.625
Pd 0.500 0.000 0.121
Pd 0.500 0.500 0.248
Pd 0.000 0.500 0.375
Pd 0.000 0.500 0.879
Pu 0.000 0.000 0.252
Pd 0.500 0.000 0.375
Pd 0.500 0.500 0.752
Pd 0.500 0.500 0.500
Pd 0.000 0.500 0.121
Pu 0.000 0.000 0.500
U 0.000 0.000 0.000
Pd 0.500 0.000 0.879
! - uncorrected energy (eV per atom) = -7.844
! - crystal system = tetragonal
! - calculated formation energy (eV per atom) = -0.5569
! - space group = No. 123

[5]
! CsVCr2, optimized geometry, DFT GGA-PBE; values from VASP
&SYSTEM
  ibrav = 0, nat = 4, ntyp = 3
/
ATOMIC_SPECIES
Cr 52.00 Cr.upf
V 50.94 V.upf
Cs 132.91 Cs.upf
CELL_PARAMETERS angstrom
0.000 3.530 3.530
3.530 0.000 3.530
3.530 3.530 0.000
ATOMIC_POSITIONS crystal
Cr 0.750 0.750 0.750
Cr 0.250 0.250 0.250
V 0.000 0.000 0.000
Cs 0.500 0.500 0.500
! - uncorrected energy (eV per atom) = -5.602
! - crystal system = cubic
! - calculated formation energy (eV per atom) = 1.7028
! - space group = No. 225